BaAl3Os: relaxed, PBEsol.

Lattice parameters (Å, degrees): 4.818 4.818 4.818 90.00 90.00 90.00
Fractional coordinates of all 5 atoms:
Ba (0.000, 0.000, 0.000)
Al (0.000, 0.500, 0.500)
Al (0.500, 0.000, 0.500)
Al (0.500, 0.500, 0.000)
Os (0.500, 0.500, 0.500)

Calculated values
- symmetry = Pm-3m (221)
- calculated formation energy (eV per formula unit) = -1.8

RbTi3Tc: relaxed, PBEsol.

Lattice parameters (Å, degrees): 4.530 4.530 4.530 90.00 90.00 90.00
Fractional coordinates of all 5 atoms:
Rb (0.000, 0.000, 0.000)
Ti (0.000, 0.000, 0.500)
Ti (0.000, 0.500, 0.000)
Ti (0.500, 0.000, 0.000)
Tc (0.500, 0.500, 0.500)

Calculated values
- symmetry = Pm-3m (221)
- calculated formation energy (eV per formula unit) = 11.3

AlIn2Cl: relaxed, PBEsol.

Lattice parameters (Å, degrees): 5.239 5.239 5.239 125.66 125.66 80.45
Fractional coordinates of all 4 atoms:
Al (0.000, 0.000, 0.000)
In (0.250, 0.750, 0.500)
In (0.750, 0.250, 0.500)
Cl (0.500, 0.500, 0.000)

Calculated values
- offset from the most stable computed form (eV/atom) = 0.2006
- symmetry = I4/mmm (139)
- E_form (uncorrected) (meV/atom) = -41.8

CuTe2SeN: relaxed, PBEsol.

Lattice parameters (Å, degrees): 5.276 5.276 3.532 90.00 90.00 90.00
Fractional coordinates of all 5 atoms:
Cu (0.000, 0.000, 0.000)
Te (0.000, 0.500, 0.000)
Te (0.500, 0.000, 0.000)
Se (0.500, 0.500, 0.500)
N (0.000, 0.000, 0.500)

Calculated values
- symmetry = P4/mmm (123)
- E_form (uncorrected) (meV/atom) = 733.5

MgZnAs2: relaxed, PBEsol.

Lattice parameters (Å, degrees): 2.848 2.848 9.060 90.00 90.00 90.00
Fractional coordinates of all 4 atoms:
Mg (0.000, 0.000, 0.000)
Zn (0.500, 0.500, 0.770)
As (0.000, 0.000, 0.555)
As (0.500, 0.500, 0.226)

Calculated values
- offset from the most stable computed form (eV/atom) = 0.1840
- symmetry = P4mm (99)
- calculated formation energy (eV per formula unit) = 0.3

LaFeMo: relaxed, PBEsol.

Lattice parameters (Å, degrees): 4.240 4.240 4.240 60.00 60.00 60.00
Fractional coordinates of all 3 atoms:
La (0.000, 0.000, 0.000)
Fe (0.750, 0.750, 0.750)
Mo (0.250, 0.250, 0.250)

Calculated values
- offset from the most stable computed form (eV/atom) = 1.2118
- symmetry = F-43m (216)
- calculated formation energy (eV per formula unit) = 4.7

CrSbSe2: relaxed, PBEsol.

Lattice parameters (Å, degrees): 4.842 4.842 3.435 90.00 90.00 90.00
Fractional coordinates of all 4 atoms:
Cr (0.000, 0.000, 0.000)
Sb (0.500, 0.500, 0.000)
Se (0.000, 0.500, 0.500)
Se (0.500, 0.000, 0.500)

Calculated values
- offset from the most stable computed form (eV/atom) = 0.4531
- symmetry = P4/mmm (123)
- E_form (uncorrected) (meV/atom) = 173.5

Tl2ReTe: relaxed, PBEsol.

Lattice parameters (Å, degrees): 2.880 2.880 12.149 90.00 90.00 90.00
Fractional coordinates of all 4 atoms:
Tl (0.000, 0.000, 0.199)
Tl (0.000, 0.000, 0.801)
Re (0.500, 0.500, 0.000)
Te (0.500, 0.500, 0.500)

Calculated values
- symmetry = P4/mmm (123)
- E_form (uncorrected) (meV/atom) = 821.8

LiYAl2: relaxed, PBEsol.

Lattice parameters (Å, degrees): 10.125 10.125 10.125 17.59 17.59 17.59
Fractional coordinates of all 4 atoms:
Li (0.000, 0.000, 0.000)
Y (0.765, 0.765, 0.765)
Al (0.258, 0.258, 0.258)
Al (0.517, 0.517, 0.517)

Calculated values
- symmetry = R3m (160)
- calculated formation energy (eV per formula unit) = 0.3

Y3Sb: relaxed, PBEsol.

Lattice parameters (Å, degrees): 3.576 3.576 10.481 90.00 90.00 120.00
Fractional coordinates of all 4 atoms:
Y (0.000, 0.000, 0.000)
Y (0.333, 0.667, 0.271)
Y (0.333, 0.667, 0.729)
Sb (0.000, 0.000, 0.500)

Calculated values
- offset from the most stable computed form (eV/atom) = 0.1989
- symmetry = P-6m2 (187)
- E_form (uncorrected) (meV/atom) = -331.0

TcIr2Pt: relaxed, PBEsol.

Lattice parameters (Å, degrees): 4.719 4.719 4.710 99.28 99.28 33.29
Fractional coordinates of all 4 atoms:
Tc (0.000, 0.000, 0.000)
Ir (0.255, 0.255, 0.758)
Ir (0.745, 0.745, 0.242)
Pt (0.500, 0.500, 0.500)

Calculated values
- offset from the most stable computed form (eV/atom) = 0.0301
- symmetry = C2/m (12)
- calculated formation energy (eV per formula unit) = -0.4

TaSi2: relaxed, PBEsol.

Lattice parameters (Å, degrees): 4.704 4.704 4.704 137.05 137.05 62.37
Fractional coordinates of all 3 atoms:
Ta (0.000, 0.000, 0.000)
Si (0.250, 0.750, 0.500)
Si (0.750, 0.250, 0.500)

Calculated values
- symmetry = I4/mmm (139)
- E_form (uncorrected) (meV/atom) = -305.5